(one)
The following is a DFT calculation (PBE) of Pm3Te2Ir after structural relaxation.

Cell: 7.487 7.487 7.855 Å, 99.31 99.31 120.00°
Fractional positions:
Pm (0.064, 0.428, 0.779)
Pm (0.208, 0.208, 0.215)
Pm (0.428, 0.064, 0.779)
Pm (0.572, 0.936, 0.221)
Pm (0.792, 0.792, 0.785)
Pm (0.936, 0.572, 0.221)
Te (0.000, 0.000, 0.500)
Te (0.344, 0.656, 0.500)
Te (0.500, 0.500, 0.000)
Te (0.656, 0.344, 0.500)
Ir (0.168, 0.832, 0.000)
Ir (0.832, 0.168, 0.000)

volume	361	Å³/cell
space-group type	C2/m, No. 12


(two)
The following is a DFT calculation (PBE) of Pm3Te2Ir after structural relaxation.

Cell: 8.105 8.105 4.262 Å, 90.00 90.00 135.15°
Fractional positions:
Pm (0.000, 0.000, 0.000)
Pm (0.376, 0.624, 0.500)
Pm (0.624, 0.376, 0.500)
Te (0.160, 0.840, 0.500)
Te (0.840, 0.160, 0.500)
Ir (0.500, 0.500, 0.000)

volume	197	Å³/cell
space-group type	Cmmm, No. 65


Ordering by calculated energy gives the sequence (one), (two), with the first entry being the most stable.